10
Lattice="-2.048 -0.329 -4.107 4.031 -1.104 -1.922 -2.099 -11.020 1.928" Properties=species:S:1:pos:R:3 comment="Ac2ScSb4Rh3 PBE optimized geometry" dos_ef_per_ev_fu=4.1 pbc="T T T"
Ac 0.414 -8.962 0.511
Sc -0.058 -6.226 -2.050
Sb 0.992 -0.716 -3.014
Rh -1.049 -5.510 0.964
Rh -2.875 -9.883 -0.353
Sb 0.000 0.000 0.000
Ac -1.521 -2.774 -1.597
Rh 1.768 -1.854 -0.733
Sb -2.378 -7.276 -0.809
Sb 1.271 -4.460 -0.277

8
Lattice="4.485 0.000 0.000 0.000 7.981 0.231 0.000 -2.700 7.444" Properties=species:S:1:pos:R:3 comment="Ac4SbRhSe2 PBE optimized geometry" dos_ef_per_ev_fu=6.3 pbc="T T T"
Ac 2.242 3.782 5.814
Ac 0.000 5.184 1.923
Ac 2.242 1.499 1.860
Rh 2.242 3.991 0.115
Se 2.242 -1.350 3.722
Se 0.000 2.641 3.837
Ac 0.000 0.097 5.751
Sb 0.000 0.000 0.000

10
Lattice="-2.178 -5.539 2.181 2.138 -3.206 -6.021 4.388 -5.563 -0.557" Properties=species:S:1:pos:R:3 comment="Ac2SiSbRh6 PBE optimized geometry" dos_ef_per_ev_fu=4.8 pbc="T T T"
Rh 3.848 -12.053 -3.183
Rh -0.726 -5.372 0.018
Rh 5.075 -8.936 -4.415
Ac 3.090 -6.462 -4.139
Si -0.020 -4.373 -1.920
Rh 1.941 -4.684 -0.762
Sb 0.000 0.000 0.000
Rh 0.501 -2.255 -1.214
Rh 2.408 -9.624 -3.635
Ac 1.259 -7.846 -0.259

10
Lattice="4.638 0.000 0.000 0.000 4.638 0.000 0.000 0.000 11.796" Properties=species:S:1:pos:R:3 comment="Ac2SmSb4Rh3 PBE optimized geometry" dos_ef_per_ev_fu=4.5 pbc="T T T"
Sb 0.000 2.319 3.988
Sb 2.319 0.000 7.808
Sb 2.319 2.319 0.000
Ac 2.319 0.000 2.667
Ac 0.000 2.319 9.130
Sb 0.000 0.000 0.000
Rh 2.319 0.000 10.487
Rh 0.000 2.319 1.309
Sm 2.319 2.319 5.898
Rh 0.000 0.000 5.898

9
Lattice="4.536 0.000 0.000 0.000 4.536 0.000 0.000 0.000 9.124" Properties=species:S:1:pos:R:3 comment="AcSmSb2Rh5 PBE optimized geometry" dos_ef_per_ev_fu=5.6 pbc="T T T"
Sb 2.268 2.268 7.690
Rh 2.268 0.000 2.512
Rh 0.000 2.268 2.512
Ac 0.000 0.000 4.562
Sm 0.000 0.000 0.000
Rh 0.000 2.268 6.611
Rh 2.268 0.000 6.611
Rh 2.268 2.268 4.562
Sb 2.268 2.268 1.433

12
Lattice="-2.174 0.379 -3.557 1.820 -3.465 -1.482 -12.680 -9.539 6.732" Properties=species:S:1:pos:R:3 comment="Ac2SmSb3Rh6 PBE optimized geometry" dos_ef_per_ev_fu=8.3 pbc="T T T"
Rh -10.808 -8.131 5.738
Rh -1.872 -1.408 0.994
Rh -5.928 -3.452 0.792
Rh -3.931 -5.374 1.829
Ac -10.826 -9.554 3.135
Sb 0.000 0.000 0.000
Sb -3.767 -2.834 2.000
Sb -8.913 -6.705 4.732
Rh -6.929 -7.630 3.421
Sm -6.517 -6.312 0.847
Rh -8.926 -5.708 2.384
Ac -2.207 -3.070 -1.441

10
Lattice="4.591 0.000 0.000 0.000 4.591 0.000 0.000 0.000 11.218" Properties=species:S:1:pos:R:3 comment="Ac2SmSb3Rh4 PBE optimized geometry" dos_ef_per_ev_fu=8.5 pbc="T T T"
Sm 2.296 2.296 5.609
Sb 2.296 0.000 9.846
Rh 2.296 0.000 7.236
Sb 0.000 2.296 1.372
Sb 0.000 0.000 5.609
Ac 2.296 0.000 2.593
Rh 0.000 2.296 3.982
Rh 2.296 2.296 0.000
Rh 0.000 0.000 0.000
Ac 0.000 2.296 8.626

10
Lattice="6.640 0.556 1.095 0.614 6.685 1.155 4.396 4.381 6.304" Properties=species:S:1:pos:R:3 comment="Ac2SnSbRh6 PBE optimized geometry" dos_ef_per_ev_fu=6.3 pbc="T T T"
Ac 4.132 7.134 4.082
Rh 9.696 9.934 7.976
Sn 0.000 0.000 0.000
Rh 1.955 1.689 0.578
Rh 4.083 3.866 3.704
Ac 7.518 4.488 4.472
Rh 7.567 7.756 4.850
Rh 5.602 8.626 6.498
Rh 6.049 2.996 2.057
Sb 3.627 3.621 1.125

12
Lattice="4.228 0.000 0.000 0.000 4.228 0.000 0.000 0.000 16.370" Properties=species:S:1:pos:R:3 comment="Ac2SnSb3Rh6 PBE optimized geometry" dos_ef_per_ev_fu=6.6 pbc="T T T"
Rh 0.000 0.000 2.523
Sb 0.000 0.000 5.104
Sn 2.114 2.114 8.185
Ac 2.114 2.114 13.436
Rh 0.000 0.000 13.847
Rh 0.000 2.114 6.560
Sb 0.000 0.000 11.267
Ac 2.114 2.114 2.934
Sb 0.000 0.000 0.000
Rh 2.114 0.000 6.560
Rh 2.114 0.000 9.810
Rh 0.000 2.114 9.810

10
Lattice="4.622 0.000 0.000 0.000 4.622 0.000 0.000 0.000 10.700" Properties=species:S:1:pos:R:3 comment="Ac2SnSb3Rh4 PBE optimized geometry" dos_ef_per_ev_fu=8.2 pbc="T T T"
Rh 2.311 0.000 6.715
Sb 2.311 0.000 9.344
Ac 0.000 2.311 8.054
Sn 2.311 2.311 5.350
Ac 2.311 0.000 2.646
Rh 0.000 0.000 0.000
Sb 0.000 2.311 1.356
Sb 0.000 0.000 5.350
Rh 2.311 2.311 0.000
Rh 0.000 2.311 3.985

10
Lattice="-4.551 -0.634 0.485 0.658 -1.385 4.359 -1.055 10.166 3.388" Properties=species:S:1:pos:R:3 comment="Ac2Sn3SbRh4 PBE optimized geometry" dos_ef_per_ev_fu=7.1 pbc="T T T"
Rh -1.947 -1.009 2.422
Rh 0.000 0.000 0.000
Ac -0.464 6.949 4.726
Ac -2.537 2.207 1.084
Sb -2.474 4.074 4.116
Rh -0.065 3.099 3.443
Sn -3.198 8.569 3.204
Sn -0.527 5.083 1.694
Sn 0.196 0.587 2.606
Rh -2.937 6.057 2.367

15
Lattice="6.671 0.000 0.000 -3.335 5.777 0.000 0.000 0.000 9.435" Properties=species:S:1:pos:R:3 comment="Ac3SnSb2Rh9 PBE optimized geometry" dos_ef_per_ev_fu=3.6 pbc="T T T"
Rh -1.668 2.889 0.000
Sb 3.335 1.926 7.712
Ac 3.335 1.926 2.583
Rh 3.335 0.000 0.000
Rh 1.668 2.889 0.000
Rh 1.331 0.768 6.881
Ac 0.000 0.000 0.000
Ac 0.000 3.851 6.852
Rh 0.000 1.537 2.553
Sb 0.000 3.851 1.723
Rh 5.340 0.768 6.881
Rh -2.004 5.009 2.553
Rh 3.335 4.240 6.881
Sn 0.000 0.000 4.717
Rh 2.004 5.009 2.553

12
Lattice="5.937 0.000 0.000 0.000 5.927 0.000 0.000 -2.963 8.269" Properties=species:S:1:pos:R:3 comment="AcSnSbRh3 PBE optimized geometry" dos_ef_per_ev_fu=2.1 pbc="T T T"
Rh 2.969 1.493 0.000
Rh 0.000 1.493 0.000
Sb 1.484 0.000 1.493
Rh 0.000 4.434 0.000
Rh 1.484 0.000 4.066
Rh 2.969 4.434 0.000
Sb 4.453 2.963 6.777
Ac 1.484 2.963 3.997
Rh 4.453 2.963 4.203
Sn 4.453 2.963 1.597
Ac 4.453 0.000 4.273
Sn 1.484 0.000 6.672

10
Lattice="-0.344 2.139 -4.057 -4.559 0.284 0.537 1.232 10.017 5.178" Properties=species:S:1:pos:R:3 comment="SrAc2Sb3Rh4 PBE optimized geometry" dos_ef_per_ev_fu=6.6 pbc="T T T"
Rh 0.000 0.000 0.000
Rh 0.632 7.609 1.352
Rh -2.452 1.211 -1.760
Sb -2.131 1.344 0.890
Sb 0.616 5.009 2.589
Ac -1.332 7.845 4.250
Sb 0.912 9.885 2.528
Ac 0.112 3.383 -0.832
Sr -1.835 6.220 0.829
Rh -1.851 3.620 2.066

4
Lattice="-1.426 2.176 -4.838 -0.669 -3.246 -4.381 -5.030 -0.873 -2.029" Properties=species:S:1:pos:R:3 comment="SrAcSbRh PBE optimized geometry" dos_ef_per_ev_fu=3.8 pbc="T T T"
Sb 0.000 0.000 0.000
Ac -1.781 -0.486 -2.812
Rh -3.562 -0.971 -5.625
Sr -5.344 -1.457 -8.437

12
Lattice="-2.975 0.917 -2.801 -0.480 -4.077 -0.824 -11.875 -1.079 12.258" Properties=species:S:1:pos:R:3 comment="Ac2TbSb3Rh6 PBE optimized geometry" dos_ef_per_ev_fu=8.2 pbc="T T T"
Sb 0.000 0.000 0.000
Rh -7.546 -2.702 7.129
Rh -10.108 -0.918 10.434
Ac -11.689 -2.485 8.470
Tb -7.665 -2.120 4.316
Rh -6.057 0.043 3.317
Sb -3.556 -0.323 3.671
Sb -8.319 -0.756 8.588
Rh -8.793 -0.205 6.140
Ac -3.642 -1.754 0.163
Rh -4.810 -2.454 4.305
Rh -1.767 -0.161 1.824

10
Lattice="-0.897 0.201 -4.535 -4.452 -0.938 0.839 -2.234 11.458 0.950" Properties=species:S:1:pos:R:3 comment="Ac2TbSb4Rh3 PBE optimized geometry" dos_ef_per_ev_fu=4.1 pbc="T T T"
Sb -2.675 -0.368 -1.848
Ac -3.950 8.373 1.153
Rh -2.431 10.266 -1.424
Sb -2.990 3.448 0.744
Rh -2.478 0.823 0.527
Sb 0.000 0.000 0.000
Rh -1.117 5.729 0.475
Sb -1.919 7.641 -1.642
Ac -0.959 2.717 -2.050
Tb -3.792 5.360 -1.373

10
Lattice="-3.207 -0.839 -3.152 -0.595 -4.196 1.722 -7.846 3.955 6.929" Properties=species:S:1:pos:R:3 comment="Ac2TbSb3Rh4 PBE optimized geometry" dos_ef_per_ev_fu=8.4 pbc="T T T"
Sb -1.266 -1.610 1.717
Sb -3.923 1.978 3.465
Ac -3.435 0.504 0.041
Rh -3.102 -0.684 3.338
Rh 0.000 0.000 0.000
Rh -6.645 2.122 2.876
Ac -6.312 0.934 6.173
Sb -8.481 3.047 4.497
Tb -5.824 -0.540 2.749
Rh -1.901 -2.518 -0.715

10
Lattice="4.708 0.000 0.000 0.000 4.708 0.000 0.000 0.000 10.401" Properties=species:S:1:pos:R:3 comment="Ac2Sb3TeRh4 PBE optimized geometry" dos_ef_per_ev_fu=10.4 pbc="T T T"
Te 2.354 2.354 5.200
Ac 0.000 2.354 7.861
Sb 0.000 0.000 5.200
Sb 2.354 0.000 9.075
Rh 2.354 2.354 0.000
Rh 0.000 0.000 0.000
Ac 2.354 0.000 2.540
Rh 0.000 2.354 3.961
Sb 0.000 2.354 1.326
Rh 2.354 0.000 6.440

15
Lattice="6.818 0.000 0.000 -3.409 5.904 0.000 0.000 0.000 8.936" Properties=species:S:1:pos:R:3 comment="Ac3Sb2TeRh9 PBE optimized geometry" dos_ef_per_ev_fu=10.5 pbc="T T T"
Rh 2.047 5.118 2.409
Rh -1.704 2.952 0.000
Rh 1.704 2.952 0.000
Te 0.000 0.000 4.468
Rh 3.409 4.332 6.527
Ac 3.409 1.968 2.448
Rh -2.047 5.118 2.409
Ac 0.000 3.936 6.488
Rh 3.409 0.000 0.000
Ac 0.000 0.000 0.000
Rh 1.361 0.786 6.527
Rh 5.456 0.786 6.527
Rh 0.000 1.572 2.409
Sb 3.409 1.968 7.195
Sb 0.000 3.936 1.740

Values of ΔE_f (raw), in order: -0.8813; -1.3512; -0.6118; -0.8471; -0.5182; -0.5072; -0.8677; -0.5322; -0.5344; -0.8337; -0.7640; -0.3298; -0.5832; -0.7522; -0.5397; -0.5178; -0.8615; -0.8855; -0.8320; -0.3443, all in eV per atom.